1.
# Ba2MgP6W

Crystalline Ba2MgP6W at its relaxed geometry (GGA-PBE, the Open Quantum Materials Database). Values from VASP.

Properties
space-group type = R-3 (148)
spin magnetization = 0.00 μB per cell
final energy = -51.2 eV per cell

Geometry as Quantum ESPRESSO input:
```
&SYSTEM
  ibrav = 0, nat = 10, ntyp = 4
/
ATOMIC_SPECIES
P 30.97 P.upf
Ba 137.33 Ba.upf
Mg 24.30 Mg.upf
W 183.84 W.upf
ATOMIC_POSITIONS angstrom
P -2.7581 9.6457 4.2141
Ba -3.1900 11.3423 7.1556
P -1.0234 8.8552 6.2404
P -2.9460 5.2581 2.6633
P -3.6900 8.0645 6.3050
P -1.2112 4.4676 4.6897
Mg -1.9847 7.0567 4.4519
P -0.2794 6.0488 2.5988
W 0.0000 0.0000 0.0000
Ba -0.7793 2.7710 1.7482
CELL_PARAMETERS angstrom
-4.9611 3.6995 2.9390
0.9271 3.5657 5.7761
0.0647 6.8481 0.1887
```

***

2.
# Ta5Al

Crystalline Ta5Al at its relaxed geometry (GGA-PBE, the Open Quantum Materials Database). Values from VASP.

Properties
space-group type = P6_3/mmc (194)
relative energy among the computed polymorphs = 22.3 kJ per mole of atoms
spin magnetization = 0.01 μB per cell

Geometry as Quantum ESPRESSO input:
```
&SYSTEM
  ibrav = 0, nat = 24, ntyp = 2
/
ATOMIC_SPECIES
Ta 180.95 Ta.upf
Al 26.98 Al.upf
ATOMIC_POSITIONS angstrom
Ta 1.5924 -13.1586 7.9971
Ta 0.9434 -8.6439 3.5806
Ta -0.9100 -11.8915 6.5388
Ta 2.3244 -6.3353 3.1772
Ta 2.6443 0.0833 0.5195
Ta -0.4376 -10.9526 3.9841
Al -0.6258 -5.8335 4.1207
Ta -0.8345 -14.6524 6.5975
Ta 2.7213 -2.6355 0.5638
Ta 1.7297 -1.3138 -1.5972
Al -0.1605 -1.4966 1.0572
Ta 1.8580 -7.2468 5.6974
Ta 0.0062 -6.8155 1.0617
Ta -0.9146 -1.3972 -2.1168
Ta 0.2943 -4.1293 -0.8358
Ta 3.7188 -3.9879 2.7564
Ta 0.8337 -13.2160 4.9287
Ta 2.7968 -5.3964 0.6225
Ta 1.8806 -10.4724 6.0996
Ta -1.8320 -13.3000 4.4049
Al -1.4121 -13.1637 9.2986
Al -0.9469 -8.8267 6.2350
Ta 1.0531 -4.0719 2.2326
Ta -1.7009 -8.7273 3.0611
CELL_PARAMETERS angstrom
-1.8292 -2.7943 -4.2336
5.2886 0.1667 1.0391
-1.5727 -14.6602 10.3558
```

***

3.
# NbCo2

Crystalline NbCo2 at its relaxed geometry (GGA-PBE, the Open Quantum Materials Database). Values from VASP.

Properties
space-group type = P4_2/mnm (136)
spin magnetization = 0.91 μB per cell
energy of formation from the pure elements = 1277 meV/atom

Geometry as Quantum ESPRESSO input:
```
&SYSTEM
  ibrav = 0, nat = 6, ntyp = 2
/
ATOMIC_SPECIES
Co 58.93 Co.upf
Nb 92.91 Nb.upf
ATOMIC_POSITIONS angstrom
Co 0.9940 -0.8346 1.8538
Nb 1.7711 0.5920 3.5831
Co 2.0761 -1.7432 3.8719
Co 3.7869 0.7293 2.5640
Co -0.2448 0.4547 4.6021
Nb 0.0000 0.0000 0.0000
CELL_PARAMETERS angstrom
-1.5780 -1.5009 4.4366
4.6482 -1.0768 1.2890
0.4720 3.7617 1.4405
```

***

4.
# FeBiOsPt

Crystalline FeBiOsPt at its relaxed geometry (GGA-PBE, the Open Quantum Materials Database). Values from VASP.

Properties
space-group type = F-43m (216)
relative energy among the computed polymorphs = 0.0 kJ per mole of atoms
spin magnetization = 2.79 μB per cell

Geometry as Quantum ESPRESSO input:
```
&SYSTEM
  ibrav = 0, nat = 4, ntyp = 4
/
ATOMIC_SPECIES
Os 190.23 Os.upf
Bi 208.98 Bi.upf
Fe 55.84 Fe.upf
Pt 195.08 Pt.upf
ATOMIC_POSITIONS angstrom
Os -1.4128 -1.8685 1.5140
Bi 0.0000 0.0000 0.0000
Fe -4.2384 -5.6055 4.5419
Pt -2.8256 -3.7370 3.0279
CELL_PARAMETERS angstrom
-0.8795 -1.4655 4.2218
-4.1463 -1.5657 1.0496
-0.6254 -4.4428 0.7844
```

***

5.
# Pr3ReO7

Crystalline Pr3ReO7 at its relaxed geometry (GGA-PBE, the Open Quantum Materials Database). Values from VASP.

Properties
space-group type = Cmcm (63)
spin magnetization = 4.00 μB per cell
final energy = -183.6 eV per cell

Geometry as Quantum ESPRESSO input:
```
&SYSTEM
  ibrav = 0, nat = 22, ntyp = 3
/
ATOMIC_SPECIES
O 16.00 O.upf
Pr 140.91 Pr.upf
Re 186.21 Re.upf
ATOMIC_POSITIONS angstrom
O 7.6637 -2.4960 -2.2018
Pr 9.4243 -4.1083 -1.4948
O 5.4101 -5.8240 -3.5268
O 7.6271 -4.7518 -0.2134
O 4.2963 -1.3202 -0.0501
O 8.1312 -5.5356 -3.0727
O 4.7979 -5.0517 -0.6855
O 7.1256 -1.0203 0.4221
O 5.8376 -5.7591 2.3418
O 6.9808 -3.2875 2.3925
Re 0.0000 0.0000 0.0000
Pr 5.9617 -3.0360 -0.1317
O 6.0859 -0.3129 -2.6053
Pr 5.4066 0.5731 0.9023
O 3.7923 -0.5364 2.8092
Pr 3.4163 -4.7451 -2.4975
Re 0.5551 -3.6091 -1.0340
Pr 2.4992 -1.9638 1.2314
Pr 8.5072 -1.3269 2.2341
O 6.5133 -0.2480 3.2634
O 4.9426 -2.7845 -2.6559
O 4.2598 -3.5760 1.9384
CELL_PARAMETERS angstrom
5.8804 1.6564 -2.6246
4.9329 -0.5102 4.4292
1.1102 -7.2182 -2.0680
```

***

6.
# CsNiS2

Crystalline CsNiS2 at its relaxed geometry (GGA-PBE, the Open Quantum Materials Database). Values from VASP.

Properties
space-group type = P6_3/mmc (194)
relative energy among the computed polymorphs = 22.1 kJ per mole of atoms
spin magnetization = 2.00 μB per cell

Geometry as Quantum ESPRESSO input:
```
&SYSTEM
  ibrav = 0, nat = 8, ntyp = 3
/
ATOMIC_SPECIES
Cs 132.91 Cs.upf
Ni 58.69 Ni.upf
S 32.06 S.upf
ATOMIC_POSITIONS angstrom
Cs 1.8426 1.0638 11.1635
Ni 0.0000 0.0000 7.4424
S 0.0000 2.1277 8.5449
S 1.8426 1.0638 6.3398
S 0.0000 2.1277 13.7822
Cs 0.0000 2.1277 3.7212
Ni 0.0000 0.0000 0.0000
S 1.8426 1.0638 1.1025
CELL_PARAMETERS angstrom
3.6852 0.0000 0.0000
-1.8426 3.1915 0.0000
0.0000 0.0000 14.8847
```

***

7.
# AcZrAs

Crystalline AcZrAs at its relaxed geometry (GGA-PBE, the Open Quantum Materials Database). Values from VASP.

Properties
space-group type = F-43m (216)
relative energy among the computed polymorphs = 94.9 kJ per mole of atoms
spin magnetization = 3.85 μB per cell

Geometry as Quantum ESPRESSO input:
```
&SYSTEM
  ibrav = 0, nat = 3, ntyp = 3
/
ATOMIC_SPECIES
Zr 91.22 Zr.upf
As 74.92 As.upf
Ac 227.00 Ac.upf
ATOMIC_POSITIONS angstrom
Zr -7.1043 -6.2116 1.9943
As -2.3681 -2.0705 0.6648
Ac 0.0000 0.0000 0.0000
CELL_PARAMETERS angstrom
-2.8153 -4.0291 -1.8454
-1.5779 -3.8077 3.2522
-5.0792 -0.4453 1.2523
```

***

8.
# SrPu

Crystalline SrPu at its relaxed geometry (GGA-PBE, the Open Quantum Materials Database). Values from VASP.

Properties
space-group type = P-6m2 (187)
relative energy among the computed polymorphs = 0.0 kJ per mole of atoms
spin magnetization = 6.57 μB per cell

Geometry as Quantum ESPRESSO input:
```
&SYSTEM
  ibrav = 0, nat = 2, ntyp = 2
/
ATOMIC_SPECIES
Sr 87.62 Sr.upf
Pu 244.00 Pu.upf
ATOMIC_POSITIONS angstrom
Sr -1.7054 -2.0491 0.1800
Pu -4.1616 -1.1373 3.0001
CELL_PARAMETERS angstrom
-2.8214 2.2816 -0.7586
-0.0085 -3.4622 -1.3243
-3.0371 -2.0057 5.2630
```

***

> The lowest spin magnetization belongs to which entry?

Ba2MgP6W

***

> Which value of spin magnetization does entry 1 give?

0.00 μB per cell

***

Copy entry 3 word for word.
# NbCo2

Crystalline NbCo2 at its relaxed geometry (GGA-PBE, the Open Quantum Materials Database). Values from VASP.

Properties
space-group type = P4_2/mnm (136)
spin magnetization = 0.91 μB per cell
energy of formation from the pure elements = 1277 meV/atom

Geometry as Quantum ESPRESSO input:
```
&SYSTEM
  ibrav = 0, nat = 6, ntyp = 2
/
ATOMIC_SPECIES
Co 58.93 Co.upf
Nb 92.91 Nb.upf
ATOMIC_POSITIONS angstrom
Co 0.9940 -0.8346 1.8538
Nb 1.7711 0.5920 3.5831
Co 2.0761 -1.7432 3.8719
Co 3.7869 0.7293 2.5640
Co -0.2448 0.4547 4.6021
Nb 0.0000 0.0000 0.0000
CELL_PARAMETERS angstrom
-1.5780 -1.5009 4.4366
4.6482 -1.0768 1.2890
0.4720 3.7617 1.4405
```